Computed, not measured: an optimized crystal structure of LaYRu at the GGA-PBE level of DFT.

Values from the calculation:
The calculation puts the calculated density at 7.030 g/cm³. The calculated volume is 25.9 Å³ per atom. As for the total energy: -6.386 eV per atom. The energy above the most stable polymorph in this dataset comes out at 0.753 eV per atom.

```
data_LaYRu
_chemical_formula_sum 'La4 Y4 Ru4'
_cell_length_a 6.773
_cell_length_b 6.773
_cell_length_c 6.773
_cell_angle_alpha 90.00
_cell_angle_beta 90.00
_cell_angle_gamma 90.00
_symmetry_space_group_name_H-M 'F -4 3 m'
_symmetry_Int_Tables_number 216
_symmetry_space_group_name_Hall 'F -4 2 3'
loop_
_atom_site_label
_atom_site_fract_x
_atom_site_fract_y
_atom_site_fract_z
La1 0.000 0.000 0.000
Y1 0.250 0.250 0.250
Ru1 0.000 0.000 0.500
```

***

Computed, not measured: an optimized crystal structure of LaYRu at the GGA-PBE level of DFT.

Values from the calculation:
The calculation puts the calculated density at 6.600 g/cm³. The calculated volume is 27.6 Å³ per atom. As for the total energy: -7.100 eV per atom. The energy above the most stable polymorph in this dataset comes out at 0.040 eV per atom.

```
data_LaYRu
_chemical_formula_sum 'La4 Y4 Ru4'
_cell_length_a 6.917
_cell_length_b 6.917
_cell_length_c 6.917
_cell_angle_alpha 90.00
_cell_angle_beta 90.00
_cell_angle_gamma 90.00
_symmetry_space_group_name_H-M 'F -4 3 m'
_symmetry_Int_Tables_number 216
_symmetry_space_group_name_Hall 'F -4 2 3'
loop_
_atom_site_label
_atom_site_fract_x
_atom_site_fract_y
_atom_site_fract_z
La1 0.000 0.000 0.000
Y1 0.000 0.000 0.500
Ru1 0.250 0.250 0.750
```

***

Computed, not measured: an optimized crystal structure of LaYRu at the GGA-PBE level of DFT.

Values from the calculation:
The calculation puts the calculated density at 5.983 g/cm³. The calculated volume is 30.4 Å³ per atom. As for the total energy: -7.059 eV per atom. The energy above the most stable polymorph in this dataset comes out at 0.080 eV per atom.

```
data_LaYRu
_chemical_formula_sum 'La1 Y1 Ru1'
_cell_length_a 4.1083
_cell_length_b 4.1083
_cell_length_c 6.2451
_cell_angle_alpha 90.00
_cell_angle_beta 90.00
_cell_angle_gamma 120.00
_symmetry_space_group_name_H-M 'P 3 m 1'
_symmetry_Int_Tables_number 156
loop_
_symmetry_equiv_pos_as_xyz
'x,y,z'
'-y,x-y,z'
'-x+y,-x,z'
'-y,-x,z'
'-x+y,y,z'
'x,x-y,z'
loop_
_atom_site_label
_atom_site_fract_x
_atom_site_fract_y
_atom_site_fract_z
La1 0.0000 0.0000 0.0000
Y1 0.3333 0.6667 0.4673
Ru1 0.6667 0.3333 0.2330
```